# NaMn2BiRh, relaxed, DFT PBE
data_NaMn2BiRh
_chemical_formula_sum 'Na1 Mn2 Bi1 Rh1'
_space_group_name_H-M_alt 'P 4/m m m'
_space_group_IT_number 123
_space_group_name_Hall '-P 4 2'
_cell_length_a 5.226
_cell_length_b 5.226
_cell_length_c 5.130
_cell_angle_alpha 90.00
_cell_angle_beta 90.00
_cell_angle_gamma 90.00
loop_
_atom_site_label
_atom_site_type_symbol
_atom_site_fract_x
_atom_site_fract_y
_atom_site_fract_z
Na1 Na 0.000 0.000 0.000
Mn1 Mn 0.000 0.500 0.500
Bi1 Bi 0.500 0.500 0.500
Rh1 Rh 0.500 0.500 0.000
# formation energy from the elements: 0.957 eV/atom

---

# Na4MnBi3S8, relaxed, DFT PBE
data_Na4MnBi3S8
_chemical_formula_sum 'Na12 Mn3 Bi9 S24'
_space_group_name_H-M_alt 'R -3 m'
_space_group_IT_number 166
_space_group_name_Hall '-R 3 2"'
_cell_length_a 7.9520
_cell_length_b 7.9520
_cell_length_c 20.2359
_cell_angle_alpha 90.00
_cell_angle_beta 90.00
_cell_angle_gamma 120.00
loop_
_atom_site_label
_atom_site_type_symbol
_atom_site_fract_x
_atom_site_fract_y
_atom_site_fract_z
Na1 Na 0.0000 0.0000 0.0000
Na2 Na 0.0000 0.5000 0.0000
Mn1 Mn 0.0000 0.0000 0.5000
Bi1 Bi 0.0000 0.5000 0.5000
S1 S 0.0000 0.0000 0.2478
S2 S 0.0304 0.5152 0.2400
# formation energy without anion corrections: -725.7 meV per atom

---

# Na2MnBiS4, relaxed, DFT PBE
data_Na2MnBiS4
_chemical_formula_sum 'Na2 Mn1 Bi1 S4'
_space_group_name_H-M_alt 'P 1 2/m 1'
_space_group_IT_number 10
_cell_length_a 6.721
_cell_length_b 3.875
_cell_length_c 7.034
_cell_angle_alpha 90.00
_cell_angle_beta 108.50
_cell_angle_gamma 90.00
loop_
_space_group_symop_operation_xyz
'x,y,z'
'-x,-y,-z'
'-x,y,-z'
'x,-y,z'
loop_
_atom_site_label
_atom_site_type_symbol
_atom_site_fract_x
_atom_site_fract_y
_atom_site_fract_z
Na1 Na 0.000 0.000 0.000
Na2 Na 0.500 0.500 0.000
Mn1 Mn 0.000 0.500 0.500
Bi1 Bi 0.500 0.000 0.500
S1 S 0.215 0.000 0.713
S2 S 0.220 0.500 0.281
# formation energy without anion corrections: -720.3 meV per atom

---

# NaMn2BiSe, relaxed, DFT PBE
data_NaMn2BiSe
_chemical_formula_sum 'Na1 Mn2 Bi1 Se1'
_space_group_name_H-M_alt 'P 4/m m m'
_space_group_IT_number 123
_space_group_name_Hall '-P 4 2'
_cell_length_a 5.004
_cell_length_b 5.004
_cell_length_c 5.388
_cell_angle_alpha 90.00
_cell_angle_beta 90.00
_cell_angle_gamma 90.00
loop_
_atom_site_label
_atom_site_type_symbol
_atom_site_fract_x
_atom_site_fract_y
_atom_site_fract_z
Na1 Na 0.000 0.000 0.000
Mn1 Mn 0.000 0.500 0.000
Bi1 Bi 0.000 0.000 0.500
Se1 Se 0.500 0.500 0.500
# formation energy without anion corrections: 1270.6 meV per atom

---

# Na2MnBiSe4, relaxed, DFT PBE
data_Na2MnBiSe4
_chemical_formula_sum 'Na2 Mn1 Bi1 Se4'
_space_group_name_H-M_alt 'P 1 2/m 1'
_space_group_IT_number 10
_cell_length_a 7.027
_cell_length_b 4.038
_cell_length_c 7.397
_cell_angle_alpha 90.00
_cell_angle_beta 108.38
_cell_angle_gamma 90.00
loop_
_space_group_symop_operation_xyz
'x,y,z'
'-x,-y,-z'
'-x,y,-z'
'x,-y,z'
loop_
_atom_site_label
_atom_site_type_symbol
_atom_site_fract_x
_atom_site_fract_y
_atom_site_fract_z
Na1 Na 0.000 0.000 0.000
Na2 Na 0.500 0.500 0.000
Mn1 Mn 0.000 0.500 0.500
Bi1 Bi 0.500 0.000 0.500
Se1 Se 0.215 0.000 0.713
Se2 Se 0.224 0.500 0.278
# formation energy without anion corrections: -682.3 meV per atom

---

# NaMnBiSe3, relaxed, DFT PBE
data_NaMnBiSe3
_chemical_formula_sum 'Na2 Mn2 Bi2 Se6'
_space_group_name_H-M_alt 'P 1 21/m 1'
_space_group_IT_number 11
_cell_length_a 8.834
_cell_length_b 4.210
_cell_length_c 9.393
_cell_angle_alpha 90.00
_cell_angle_beta 100.16
_cell_angle_gamma 90.00
loop_
_space_group_symop_operation_xyz
'x,y,z'
'-x,-y,-z'
'-x,y+1/2,-z'
'x,-y+1/2,z'
loop_
_atom_site_label
_atom_site_type_symbol
_atom_site_fract_x
_atom_site_fract_y
_atom_site_fract_z
Na1 Na 0.177 0.250 0.213
Mn1 Mn 0.090 0.250 0.602
Bi1 Bi 0.342 0.750 0.857
Se1 Se 0.110 0.250 0.871
Se2 Se 0.204 0.750 0.502
Se3 Se 0.419 0.750 0.158
# formation energy without anion corrections: -579.7 meV per atom

---

# Na3MnBi2Se6, relaxed, DFT PBE
data_Na3MnBi2Se6
_chemical_formula_sum 'Na6 Mn2 Bi4 Se12'
_space_group_name_H-M_alt 'C 1 2/m 1'
_space_group_IT_number 12
_cell_length_a 7.108
_cell_length_b 12.379
_cell_length_c 7.424
_cell_angle_alpha 90.00
_cell_angle_beta 108.90
_cell_angle_gamma 90.00
loop_
_space_group_symop_operation_xyz
'x,y,z'
'-x,-y,-z'
'-x,y,-z'
'x,-y,z'
'x+1/2,y+1/2,z'
'-x+1/2,-y+1/2,-z'
'-x+1/2,y+1/2,-z'
'x+1/2,-y+1/2,z'
loop_
_atom_site_label
_atom_site_type_symbol
_atom_site_fract_x
_atom_site_fract_y
_atom_site_fract_z
Na1 Na 0.000 0.000 0.000
Na2 Na 0.000 0.325 0.000
Mn1 Mn 0.000 0.500 0.500
Bi1 Bi 0.000 0.167 0.500
Se1 Se 0.221 0.500 0.281
Se2 Se 0.228 0.348 0.727
# formation energy without anion corrections: -701.3 meV per atom

---

# NaMnBiTe3, relaxed, DFT PBE
data_NaMnBiTe3
_chemical_formula_sum 'Na2 Mn2 Bi2 Te6'
_space_group_name_H-M_alt 'P 1 21/m 1'
_space_group_IT_number 11
_cell_length_a 9.319
_cell_length_b 4.465
_cell_length_c 10.011
_cell_angle_alpha 90.00
_cell_angle_beta 101.87
_cell_angle_gamma 90.00
loop_
_space_group_symop_operation_xyz
'x,y,z'
'-x,-y,-z'
'-x,y+1/2,-z'
'x,-y+1/2,z'
loop_
_atom_site_label
_atom_site_type_symbol
_atom_site_fract_x
_atom_site_fract_y
_atom_site_fract_z
Na1 Na 0.181 0.250 0.224
Mn1 Mn 0.083 0.250 0.598
Bi1 Bi 0.337 0.750 0.859
Te1 Te 0.100 0.250 0.871
Te2 Te 0.218 0.750 0.512
Te3 Te 0.428 0.750 0.167
# formation energy without anion corrections: -365.5 meV per atom

---

# Na4MnBi3Te8, relaxed, DFT PBE
data_Na4MnBi3Te8
_chemical_formula_sum 'Na12 Mn3 Bi9 Te24'
_space_group_name_H-M_alt 'R -3 m'
_space_group_IT_number 166
_space_group_name_Hall '-R 3 2"'
_cell_length_a 8.8389
_cell_length_b 8.8389
_cell_length_c 22.8763
_cell_angle_alpha 90.00
_cell_angle_beta 90.00
_cell_angle_gamma 120.00
loop_
_atom_site_label
_atom_site_type_symbol
_atom_site_fract_x
_atom_site_fract_y
_atom_site_fract_z
Na1 Na 0.0000 0.0000 0.0000
Na2 Na 0.0000 0.5000 0.0000
Mn1 Mn 0.0000 0.0000 0.5000
Bi1 Bi 0.0000 0.5000 0.5000
Te1 Te 0.0000 0.0000 0.2470
Te2 Te 0.0271 0.5135 0.2404
# formation energy without anion corrections: -496.8 meV per atom

---

# Na2MnBiTe4, relaxed, DFT PBE
data_Na2MnBiTe4
_chemical_formula_sum 'Na2 Mn1 Bi1 Te4'
_space_group_name_H-M_alt 'P 1 2/m 1'
_space_group_IT_number 10
_cell_length_a 7.500
_cell_length_b 4.310
_cell_length_c 7.995
_cell_angle_alpha 90.00
_cell_angle_beta 108.12
_cell_angle_gamma 90.00
loop_
_space_group_symop_operation_xyz
'x,y,z'
'-x,-y,-z'
'-x,y,-z'
'x,-y,z'
loop_
_atom_site_label
_atom_site_type_symbol
_atom_site_fract_x
_atom_site_fract_y
_atom_site_fract_z
Na1 Na 0.000 0.000 0.000
Na2 Na 0.500 0.500 0.000
Mn1 Mn 0.000 0.500 0.500
Bi1 Bi 0.500 0.000 0.500
Te1 Te 0.216 0.000 0.713
Te2 Te 0.227 0.500 0.278
# formation energy without anion corrections: -460.7 meV per atom

---

# Mn3NbBi, relaxed, DFT PBE
data_Mn3NbBi
_chemical_formula_sum 'Mn3 Nb1 Bi1'
_space_group_name_H-M_alt 'P m -3 m'
_space_group_IT_number 221
_space_group_name_Hall '-P 4 2 3'
_cell_length_a 4.763
_cell_length_b 4.763
_cell_length_c 4.763
_cell_angle_alpha 90.00
_cell_angle_beta 90.00
_cell_angle_gamma 90.00
loop_
_atom_site_label
_atom_site_type_symbol
_atom_site_fract_x
_atom_site_fract_y
_atom_site_fract_z
Mn1 Mn 0.000 0.000 0.500
Nb1 Nb 0.000 0.000 0.000
Bi1 Bi 0.500 0.500 0.500
# formation energy from the elements: 1.111 eV/atom
# ΔE to the lowest computed polymorph: 0 meV per atom

---

# Mn2Nb2Bi, relaxed, DFT PBE
data_Mn2Nb2Bi
_chemical_formula_sum 'Mn4 Nb4 Bi2'
_space_group_name_H-M_alt 'P 4/m b m'
_space_group_IT_number 127
_space_group_name_Hall '-P 4 2ab'
_cell_length_a 7.107
_cell_length_b 7.107
_cell_length_c 3.438
_cell_angle_alpha 90.00
_cell_angle_beta 90.00
_cell_angle_gamma 90.00
loop_
_atom_site_label
_atom_site_type_symbol
_atom_site_fract_x
_atom_site_fract_y
_atom_site_fract_z
Mn1 Mn 0.116 0.384 0.000
Nb1 Nb 0.171 0.671 0.500
Bi1 Bi 0.000 0.000 0.000
# formation energy from the elements: 0.308 eV/atom

---

V? In order: 28.0; 23.1; 21.7; 27.0; 24.9; 28.7; 25.8; 34.0; 32.2; 30.7; 21.6; 17.4 Å³ per atom.